No. 1
The following is a PBE calculation of a relaxed Gd2PaSn crystal, from the Alexandria database.

Electronic total energy ... -10.615 eV per atom
Energy relative to the elements ... -0.200 eV/atom
Polymorph energy (0 for the lowest one) ... 0.000 kcal/mol of atoms

Lattice parameters (Å, degrees): 4.5949 4.8360 4.8360 90.00 90.00 90.00
Each line ends with the local moment (μB).
Fractional coordinates of all 4 atoms:
Gd 0.0000 0.0000 0.5000  7.04
Gd 0.0000 0.5000 0.0000  7.04
Pa 0.5000 0.5000 0.5000  -0.15
Sn 0.5000 0.0000 0.0000  -0.03

=====

No. 2
The following is a PBE calculation of a relaxed Gd2PaSn crystal, from the Alexandria database.

Electronic total energy ... -10.414 eV per atom
Energy relative to the elements ... 0.001 eV/atom
Polymorph energy (0 for the lowest one) ... 4.643 kcal/mol of atoms

Lattice parameters (Å, degrees): 5.3724 5.3724 5.3724 60.00 60.00 60.00
Each line ends with the local moment (μB).
Fractional coordinates of all 4 atoms:
Gd 0.2500 0.2500 0.2500  7.29
Gd 0.7500 0.7500 0.7500  7.29
Pa 0.0000 0.0000 0.0000  1.17
Sn 0.5000 0.5000 0.5000  -0.07

=====

Look up the energy relative to the elements of the first one. -0.200 eV/atom

=====

Look up the electronic total energy of the first one. -10.615 eV per atom